(1)
Material: Nb2V2Se7
Method: DFT, PBE-GGA
State: relaxed

Properties
energy	-68.44	eV/cell
ΔE_f (raw)	-0.5156	eV/atom

Unit cell a=6.6616 b=6.7047 c=6.7047 alpha=112.32 beta=90.10 gamma=90.10
With the nearest neighbours (Å) after each atom.
Element x y z (fractional)
Nb 0.5000 0.3641 0.6359  6 Se 2.57-2.84
Nb 0.5000 0.6359 0.3641  6 Se 2.57-2.84
V 0.1563 0.7287 0.7287  3 Se 2.28-2.37
V 0.8437 0.2713 0.2713  3 Se 2.28-2.37
Se 0.3028 0.5960 0.9753  1 V 2.37, 1 Nb 2.58
Se 0.6972 0.0247 0.4040  1 V 2.37, 1 Nb 2.58
Se 0.6972 0.4040 0.0247  1 V 2.37, 1 Nb 2.58
Se 0.3028 0.9753 0.5960  1 V 2.37, 1 Nb 2.58
Se 0.2143 0.3897 0.3897  2 V 2.56-2.62, 2 Nb 2.57
Se 0.0000 0.0000 0.0000  2 V 2.28
Se 0.7857 0.6103 0.6103  2 V 2.56-2.62, 2 Nb 2.57

***

(2)
Material: BP2C3
Method: DFT, PBE-GGA
State: relaxed

Properties
energy	-81.42	eV/cell
energy of formation	0.7434	eV per atom

Unit cell a=5.2755 b=4.3291 c=10.1967 alpha=90.00 beta=93.46 gamma=90.00
With the nearest neighbours (Å) after each atom.
Element x y z (fractional)
P 0.7089 0.0000 0.5674  2 C 1.72-1.82
P 0.7089 0.5000 0.0674  2 C 1.72-1.82
P 0.7026 0.0000 0.9847  1 B 1.78
P 0.7026 0.5000 0.4847  1 B 1.78
C 0.4187 0.0000 0.6365  1 C 1.23
C 0.4187 0.5000 0.1365  1 C 1.23
C 0.9471 0.0000 0.7048  1 C 1.39, 1 B 1.44
C 0.9471 0.5000 0.2048  1 C 1.39, 1 B 1.44
C 0.1985 0.0000 0.6701  1 C 1.23
C 0.1985 0.5000 0.1701  1 C 1.23
B 0.8593 0.0000 0.8354  1 C 1.44
B 0.8593 0.5000 0.3354  1 C 1.44

***

(3)
Material: BiClO
Method: DFT, PBE-GGA
State: relaxed

Properties
energy	-13.32	eV/cell
ΔE_f (raw)	-0.8797	eV/atom

Unit cell a=3.4515 b=3.4515 c=6.1716 alpha=106.24 beta=106.24 gamma=90.00
With the nearest neighbours (Å) after each atom.
Element x y z (fractional)
Bi 0.7607 0.7607 0.5214  4 O 2.44, 1 Cl 2.48
O 0.2599 0.2599 0.5197  4 Bi 2.44
Cl 0.9794 0.9794 0.9589  1 Bi 2.48

***

(4)
Material: CdFe2Cl
Method: DFT, PBE-GGA
State: relaxed

Properties
energy	-17.34	eV/cell
ΔE_f (raw)	0.5866	eV/atom

Unit cell a=4.7330 b=4.7330 c=2.9505 alpha=90.00 beta=90.00 gamma=90.00
With the nearest neighbours (Å) after each atom.
Element x y z (fractional)
Cl 0.0000 0.5000 0.5000  8 Fe 2.79, 2 Cl 2.95
Fe 0.0000 0.0000 0.0000  4 Cl 2.79, 4 Cd 2.79, 2 Fe 2.95
Fe 0.5000 0.5000 0.0000  4 Cd 2.79, 4 Cl 2.79, 2 Fe 2.95
Cd 0.5000 0.0000 0.5000  8 Fe 2.79, 2 Cd 2.95

***

(5)
Material: SiSnMo2Pb
Method: DFT, PBE-GGA
State: relaxed

Properties
energy	-26.14	eV/cell
ΔE_f (raw)	1.7314	eV/atom

Unit cell a=5.1816 b=5.0074 c=5.1816 alpha=90.00 beta=90.00 gamma=90.00
With the nearest neighbours (Å) after each atom.
Element x y z (fractional)
Pb 0.5000 0.5000 0.5000  8 Mo 3.60, 4 Si 3.66
Mo 0.0000 0.0000 0.5000  2 Sn 2.59
Mo 0.5000 0.0000 0.0000  2 Sn 2.59
Si 0.0000 0.5000 0.0000  2 Sn 2.50
Sn 0.0000 0.0000 0.0000  2 Si 2.50, 4 Mo 2.59

***

(6)
Material: As2OsPt
Method: DFT, PBE-GGA
State: relaxed

Properties
energy	-25.58	eV/cell
energy of formation	0.2473	eV per atom

Unit cell a=3.0338 b=3.0348 c=6.9600 alpha=90.00 beta=90.00 gamma=90.00
With the nearest neighbours (Å) after each atom.
Element x y z (fractional)
As 0.0000 0.0000 0.0195  4 Os 2.68, 4 Pt 2.85
As 0.0000 0.0000 0.4805  4 Os 2.68, 4 Pt 2.85
Os 0.5000 0.5000 0.2500  8 As 2.68
Pt 0.5000 0.5000 0.7500  8 As 2.85, 4 Pt 3.03

***

(7)
Material: CaAsOF2
Method: DFT, PBE-GGA
State: relaxed

Properties
energy	-23.20	eV/cell
ΔE_f (raw)	-1.5705	eV/atom

Unit cell a=4.1981 b=4.1981 c=4.7554 alpha=90.00 beta=90.00 gamma=90.00
With the nearest neighbours (Å) after each atom.
Element x y z (fractional)
As 0.5000 0.5000 0.5000  4 O 2.97, 8 F 3.17
Ca 0.0000 0.0000 0.0000  4 F 2.10
O 0.0000 0.0000 0.5000  2 Ca 2.38
F 0.0000 0.5000 0.0000  2 Ca 2.10
F 0.5000 0.0000 0.0000  2 Ca 2.10

***

(8)
Material: Li3Mg2CdHg3
Method: DFT, PBE-GGA
State: relaxed

Properties
energy	-12.85	eV/cell
energy of formation	-0.2330	eV per atom

Unit cell a=3.1183 b=8.1216 c=8.1216 alpha=120.00 beta=90.00 gamma=90.00
With the nearest neighbours (Å) after each atom.
Element x y z (fractional)
Li 0.5000 0.7052 0.0000  2 Cd 2.86, 2 Mg 2.88, 2 Li 3.12, 6 Hg 3.13-3.17
Li 0.5000 0.0000 0.7052  2 Cd 2.86, 2 Mg 2.88, 2 Li 3.12, 6 Hg 3.13-3.17
Li 0.5000 0.2948 0.2948  2 Cd 2.86, 2 Mg 2.88, 2 Li 3.12, 6 Hg 3.13-3.17
Mg 0.5000 0.6667 0.3333  3 Li 2.88, 6 Hg 3.00, 2 Mg 3.12
Mg 0.5000 0.3333 0.6667  3 Li 2.88, 6 Hg 3.00, 2 Mg 3.12
Cd 0.0000 0.0000 0.0000  6 Li 2.86, 3 Hg 3.02, 2 Cd 3.12
Hg 0.0000 0.6287 0.6287  4 Mg 3.00, 1 Cd 3.02, 2 Hg 3.12, 6 Li 3.13-3.17
Hg 0.0000 0.0000 0.3713  4 Mg 3.00, 1 Cd 3.02, 2 Hg 3.12, 6 Li 3.13-3.17
Hg 0.0000 0.3713 0.0000  4 Mg 3.00, 1 Cd 3.02, 2 Hg 3.12, 6 Li 3.13-3.17

***

(9)
Material: Cd6Ag2Rh
Method: DFT, PBE-GGA
State: relaxed

Properties
energy	-18.40	eV/cell
energy of formation	0.0166	eV per atom

Unit cell a=4.9501 b=7.9652 c=6.6921 alpha=126.52 beta=113.13 gamma=90.00
With the nearest neighbours (Å) after each atom.
Element x y z (fractional)
Cd 0.1619 0.4703 0.3194  1 Rh 2.89, 3 Ag 2.90-2.91, 7 Cd 3.00-3.21
Cd 0.8381 0.1509 0.6806  1 Rh 2.89, 3 Ag 2.90-2.91, 7 Cd 3.00-3.21
Cd 0.8381 0.5297 0.6806  1 Rh 2.89, 3 Ag 2.90-2.91, 7 Cd 3.00-3.21
Cd 0.5000 0.1813 0.0000  2 Rh 2.87, 7 Cd 2.89-3.20, 2 Ag 3.04
Cd 0.1619 0.8491 0.3194  1 Rh 2.89, 3 Ag 2.90-2.91, 7 Cd 3.00-3.21
Cd 0.5000 0.8187 0.0000  2 Rh 2.87, 7 Cd 2.89-3.20, 2 Ag 3.04
Ag 0.6823 0.6781 0.3563  8 Cd 2.90-3.04, 1 Rh 3.02
Ag 0.3177 0.3219 0.6437  8 Cd 2.90-3.04, 1 Rh 3.02
Rh 0.0000 0.0000 0.0000  8 Cd 2.87-2.89, 2 Ag 3.02

***

(10)
Material: Sc3SiBi
Method: DFT, PBE-GGA
State: relaxed

Properties
energy	-25.50	eV/cell
ΔE_f (raw)	0.5594	eV/atom

Unit cell a=5.3548 b=5.3548 c=5.3548 alpha=90.00 beta=90.00 gamma=90.00
With the nearest neighbours (Å) after each atom.
Element x y z (fractional)
Sc 0.0000 0.5000 0.0000  2 Bi 2.68
Sc 0.0000 0.0000 0.5000  2 Bi 2.68
Sc 0.5000 0.0000 0.0000  2 Bi 2.68
Si 0.5000 0.5000 0.5000  12 Sc 3.79
Bi 0.0000 0.0000 0.0000  6 Sc 2.68

***

(11)
Material: TaSbCl2
Method: DFT, PBE-GGA
State: relaxed

Properties
energy	-17.47	eV/cell
ΔE_f (raw)	0.5492	eV/atom

Unit cell a=4.6427 b=4.2858 c=4.2858 alpha=90.00 beta=90.00 gamma=90.00
With the nearest neighbours (Å) after each atom.
Element x y z (fractional)
Sb 0.5000 0.5000 0.0000  4 Ta 3.03, 8 Cl 3.16
Cl 0.0000 0.0000 0.0000  4 Cl 3.03, 4 Ta 3.16, 4 Sb 3.16
Cl 0.0000 0.5000 0.5000  4 Cl 3.03, 4 Ta 3.16, 4 Sb 3.16
Ta 0.5000 0.0000 0.5000  4 Sb 3.03, 8 Cl 3.16

***

(12)
Material: Ti5VOs6
Method: DFT, PBE-GGA
State: relaxed

Properties
energy	-123.54	eV/cell
energy of formation	-0.6309	eV per atom

Unit cell a=4.3591 b=6.1587 c=7.5430 alpha=114.09 beta=106.80 gamma=90.00
With the nearest neighbours (Å) after each atom.
Element x y z (fractional)
V 0.0000 0.0000 0.0000  8 Os 2.65-2.66
Os 0.8346 0.5860 0.6693  1 V 2.65, 7 Ti 2.66-2.69
Os 0.8346 0.0832 0.6693  1 V 2.65, 7 Ti 2.66-2.69
Os 0.5000 0.7528 0.0000  6 Ti 2.65-2.68, 2 V 2.66
Os 0.5000 0.2472 0.0000  6 Ti 2.65-2.68, 2 V 2.66
Os 0.1654 0.9168 0.3307  1 V 2.65, 7 Ti 2.66-2.69
Os 0.1654 0.4140 0.3307  1 V 2.65, 7 Ti 2.66-2.69
Ti 0.6659 0.1659 0.3318  8 Os 2.65-2.69
Ti 0.3331 0.3331 0.6662  8 Os 2.67-2.68
Ti 0.0000 0.5000 0.0000  8 Os 2.66-2.68
Ti 0.6669 0.6669 0.3338  8 Os 2.67-2.68
Ti 0.3341 0.8341 0.6682  8 Os 2.65-2.69